Below is crystalline HoHfAgIr at its relaxed geometry, with properties calculated at the PBE level.

Properties
**Density**: 13.40 Mg/m³
**Formation enthalpy at 0 K**: -483 meV/atom

a = 6.8327 Å, b = 6.8327 Å, c = 6.8327 Å
α = 90.00°, β = 90.00°, γ = 90.00°
Closest atoms and distances in Å follow each position.
Space group F-43m (No. 216)
Unique sites:
Ho  0.0000  0.0000  0.0000 [4 per cell]  4 Ir 2.96, 4 Ag 2.96
Hf  0.0000  0.0000  0.5000 [4 per cell]  4 Ir 2.96, 4 Ag 2.96
Ag  0.2500  0.2500  0.2500 [4 per cell]  4 Hf 2.96, 4 Ho 2.96
Ir  0.2500  0.2500  0.7500 [4 per cell]  4 Hf 2.96, 4 Ho 2.96


Below is crystalline ErThScCd at its relaxed geometry, with properties calculated at the PBE level.

Properties
**Density**: 8.66 Mg/m³
**Energy above the most stable polymorph in this dataset**: 0.000 kcal/mol of atoms
**Formation enthalpy at 0 K**: -158 meV/atom

a = 3.5392 Å, b = 3.5392 Å, c = 8.5224 Å
α = 90.00°, β = 90.00°, γ = 90.00°
Closest atoms and distances in Å follow each position.
Space group P4mm (No. 99)
Unique sites:
Er  0.0000  0.0000  0.0000 [1 per cell]  4 Cd 3.25, 4 Th 3.48, 4 Er 3.54
Th  0.5000  0.5000  0.2845 [1 per cell]  4 Sc 3.36, 4 Er 3.48, 4 Th 3.54
Sc  0.0000  0.0000  0.5469 [1 per cell]  4 Cd 3.08, 4 Th 3.36
Cd  0.5000  0.5000  0.7575 [1 per cell]  4 Sc 3.08, 4 Er 3.25


Below is crystalline BaPrCuAg at its relaxed geometry, with properties calculated at the PBE level.

Properties
**Density**: 6.45 Mg/m³
**Formation enthalpy at 0 K**: -7 meV/atom

a = 7.7362 Å, b = 7.7362 Å, c = 7.7362 Å
α = 90.00°, β = 90.00°, γ = 90.00°
Closest atoms and distances in Å follow each position.
Space group F-43m (No. 216)
Unique sites:
Ba  0.0000  0.0000  0.0000 [4 per cell]  4 Cu 3.35, 4 Ag 3.35
Pr  0.0000  0.0000  0.5000 [4 per cell]  4 Cu 3.35, 4 Ag 3.35
Cu  0.2500  0.2500  0.7500 [4 per cell]  4 Ba 3.35, 4 Pr 3.35
Ag  0.2500  0.2500  0.2500 [4 per cell]  4 Ba 3.35, 4 Pr 3.35


> Among the records above, which one has the lowest density?

BaPrCuAg


> Look up the density of the second one.

8.66 Mg/m³


> Which of these has the highest formation enthalpy at 0 K?

BaPrCuAg